! NbVRhF2 (GGA+U, relaxed); values from VASP
&SYSTEM
  ibrav = 0, nat = 5, ntyp = 4
/
ATOMIC_SPECIES
Nb 92.91 Nb.upf
F 19.00 F.upf
Rh 102.91 Rh.upf
V 50.94 V.upf
ATOMIC_POSITIONS angstrom
Nb 0.0000 0.0000 0.0000
F 0.0000 0.0000 1.9770
F 1.9770 0.0000 0.0000
Rh 1.9770 2.9364 1.9770
V 0.0000 2.9364 0.0000
CELL_PARAMETERS angstrom
3.9540 0.0000 0.0000
0.0000 5.8728 0.0000
0.0000 0.0000 3.9540
! Fermi-level density of states	4.47	states/eV/cell
! crystal system	tetragonal
! VASP energy	-6.07	eV per atom
! SG	P4/mmm